# 1
The following is a PBE-GGA calculation of a relaxed structure of Tm5Mg4Tl, from the Alexandria database.

Summary:
N(E_F)   10.40 states/eV per cell
Formation energy from the elements   -0.12 eV/atom
Space-group type   P4/mmm (123)

Lattice parameters (Å, degrees): 3.765 3.765 18.564 90.00 90.00 90.00
Positions (direct):
Tm 0.000 0.000 0.000
Tm 0.000 0.000 0.200
Tm 0.000 0.000 0.398
Tm 0.000 0.000 0.602
Tm 0.000 0.000 0.800
Mg 0.500 0.500 0.100
Mg 0.500 0.500 0.298
Mg 0.500 0.500 0.702
Mg 0.500 0.500 0.900
Tl 0.500 0.500 0.500

=====

# 2
The following is a PBE-GGA calculation of a relaxed structure of Pm3Pr8In2, from the Alexandria database.

Summary:
N(E_F)   18.10 states/eV per cell
Formation energy from the elements   0.11 eV/atom
Space-group type   R-3m (166)

Lattice parameters (Å, degrees): 12.738 12.738 12.738 30.14 30.14 30.14
Positions (direct):
Pm 0.000 0.000 0.000
Pm 0.191 0.191 0.191
Pm 0.809 0.809 0.809
Pr 0.227 0.719 0.719
Pr 0.281 0.281 0.773
Pr 0.281 0.773 0.281
Pr 0.285 0.285 0.285
Pr 0.715 0.715 0.715
Pr 0.719 0.227 0.719
Pr 0.719 0.719 0.227
Pr 0.773 0.281 0.281
In 0.370 0.370 0.370
In 0.630 0.630 0.630

=====

# 3
The following is a PBE-GGA calculation of a relaxed structure of AcNb3O9, from the Alexandria database.

Summary:
N(E_F)   0.00 states/eV per cell
Formation energy (no corrections)   -2790 meV/atom
Space-group type   P2_1/m (11)

Lattice parameters (Å, degrees): 5.643 7.770 8.348 90.00 91.93 90.00
Positions (direct):
Ac 0.032 0.250 0.432
Ac 0.968 0.750 0.568
Nb 0.000 0.000 0.000
Nb 0.000 0.500 0.000
Nb 0.480 0.008 0.701
Nb 0.480 0.492 0.701
Nb 0.520 0.508 0.299
Nb 0.520 0.992 0.299
O 0.069 0.250 0.992
O 0.161 0.544 0.790
O 0.161 0.956 0.790
O 0.272 0.533 0.466
O 0.272 0.967 0.466
O 0.311 0.541 0.125
O 0.311 0.959 0.125
O 0.369 0.250 0.666
O 0.462 0.250 0.311
O 0.538 0.750 0.689
O 0.631 0.750 0.334
O 0.689 0.041 0.875
O 0.689 0.459 0.875
O 0.728 0.033 0.534
O 0.728 0.467 0.534
O 0.839 0.044 0.210
O 0.839 0.456 0.210
O 0.931 0.750 0.008

=====

# 4
The following is a PBE-GGA calculation of a relaxed structure of DyHoPt2, from the Alexandria database.

Summary:
N(E_F)   2.22 states/eV per cell
Formation energy from the elements   -1.14 eV/atom
ΔE to the lowest computed polymorph   0.61 eV per formula unit
Space-group type   R-3m (166)

Lattice parameters (Å, degrees): 7.052 7.052 7.052 33.39 33.39 33.39
Positions (direct):
Dy 0.000 0.000 0.000
Ho 0.500 0.500 0.500
Pt 0.249 0.249 0.249
Pt 0.751 0.751 0.751

=====

# 5
The following is a PBE-GGA calculation of a relaxed structure of TlZnFe2, from the Alexandria database.

Summary:
N(E_F)   2.38 states/eV per cell
Formation energy from the elements   0.83 eV/atom
ΔE to the lowest computed polymorph   2.13 eV per formula unit
Space-group type   I-42d (122)

Lattice parameters (Å, degrees): 9.304 9.304 9.304 155.99 155.99 34.22
Positions (direct):
Tl 0.000 0.000 0.000
Tl 0.750 0.250 0.500
Zn 0.250 0.750 0.500
Zn 0.500 0.500 0.000
Fe 0.243 0.625 0.118
Fe 0.375 0.493 0.618
Fe 0.507 0.125 0.882
Fe 0.875 0.757 0.382

=====

# 6
The following is a PBE-GGA calculation of a relaxed structure of KGa3Tc, from the Alexandria database.

Summary:
N(E_F)   2.24 states/eV per cell
Formation energy from the elements   0.54 eV/atom
ΔE to the lowest computed polymorph   3.59 eV per formula unit
Space-group type   R3m (160)

Lattice parameters (Å, degrees): 4.930 4.930 4.930 71.62 71.62 71.62
Positions (direct):
K 0.000 0.000 0.000
Ga 0.109 0.600 0.600
Ga 0.600 0.109 0.600
Ga 0.600 0.600 0.109
Tc 0.258 0.258 0.258

=====

# 7
The following is a PBE-GGA calculation of a relaxed structure of Ba2In3PbO8, from the Alexandria database.

Summary:
N(E_F)   4.37 states/eV per cell
Formation energy (no corrections)   -1685 meV/atom
Space-group type   R3m (160)

Lattice parameters (Å, degrees): 7.447 7.447 7.447 54.46 54.46 54.46
Positions (direct):
Ba 0.000 0.000 0.000
Ba 0.370 0.370 0.370
In 0.001 0.001 0.486
In 0.001 0.486 0.001
In 0.486 0.001 0.001
Pb 0.597 0.597 0.597
O 0.210 0.738 0.738
O 0.227 0.227 0.227
O 0.253 0.253 0.801
O 0.253 0.801 0.253
O 0.738 0.210 0.738
O 0.738 0.738 0.210
O 0.778 0.778 0.778
O 0.801 0.253 0.253

=====

# 8
The following is a PBE-GGA calculation of a relaxed structure of Tl3SnPb, from the Alexandria database.

Summary:
N(E_F)   2.41 states/eV per cell
Formation energy from the elements   0.23 eV/atom
ΔE to the lowest computed polymorph   1.07 eV per formula unit
Space-group type   R3m (160)

Lattice parameters (Å, degrees): 6.233 6.233 6.233 109.45 109.45 109.45
Positions (direct):
Tl 0.012 0.494 0.494
Tl 0.494 0.012 0.494
Tl 0.494 0.494 0.012
Sn 0.572 0.572 0.572
Pb 0.059 0.059 0.059